Density functional theory data (PBE) for an optimized crystal structure of Sr4Mg2Pt.

Results
Formation energy from the elements (eV per atom): -0.19
Electronic total energy (eV/atom): -2.474

abc: 5.8028 5.8028 17.8860
angles: 90.00 90.00 90.00
Space group I4/mmm (No. 139)
Inequivalent atoms, fractional coordinates:
Sr  0.0000  0.0000  0.1710 x4
Sr  0.0000  0.5000  0.0000 x4
Mg  0.0000  0.0000  0.3722 x4
Pt  0.0000  0.0000  0.0000 x2